Compound: MgPb2WO6
Source: the Alexandria database
Functional: PBE+U
Structure: optimized geometry

Calculated values
Uncorrected energy = -64.408 eV for the cell shown
Total magnetic moment = 0.00 μB per formula unit

```
MgPb2WO6
1.0
0.000 4.042 4.042
4.042 0.000 4.042
4.042 4.042 0.000
Mg Pb W O
1 2 1 6
Direct
0.000 0.000 0.000 Mg
0.250 0.250 0.250 Pb
0.750 0.750 0.750 Pb
0.500 0.500 0.500 W
0.258 0.258 0.742 O
0.258 0.742 0.258 O
0.258 0.742 0.742 O
0.742 0.258 0.258 O
0.742 0.258 0.742 O
0.742 0.742 0.258 O
```